(1)
{"formula": "PuSb12Ru4", "functional": "PBE", "state": "relaxed", "sg": "No. 204", "e_form_raw_ev_per_atom": -0.28, "cell": [[0.507, 3.536, -7.285], [6.184, -5.170, 0.934], [-7.013, -4.043, 0.562]], "species": ["Pu", "Sb", "Sb", "Sb", "Sb", "Sb", "Sb", "Sb", "Sb", "Sb", "Sb", "Sb", "Sb", "Ru", "Ru", "Ru", "Ru"], "fractional_positions": [[0.000, 0.000, 0.000], [0.842, 0.339, 0.181], [0.339, 0.496, 0.158], [0.819, 0.158, 0.661], [0.339, 0.181, 0.842], [0.181, 0.842, 0.339], [0.661, 0.504, 0.842], [0.496, 0.158, 0.339], [0.504, 0.842, 0.661], [0.661, 0.819, 0.158], [0.842, 0.661, 0.504], [0.158, 0.339, 0.496], [0.158, 0.661, 0.819], [0.000, 0.500, 0.000], [0.500, 0.000, 0.000], [0.500, 0.500, 0.500], [0.000, 0.000, 0.500]]}

(2)
{"formula": "Tm3Ag3RuO8", "functional": "PBE", "state": "relaxed", "sg": "No. 12", "e_form_raw_ev_per_atom": -1.88, "cell": [[-6.524, -0.195, 1.281], [4.260, -3.252, 3.936], [-0.156, 6.933, 0.261]], "species": ["Tm", "Tm", "Tm", "Ag", "Ag", "Ag", "Ru", "O", "O", "O", "O", "O", "O", "O", "O"], "fractional_positions": [[0.500, 0.000, 0.500], [0.500, 0.500, 0.500], [0.000, 0.500, 0.500], [0.000, 0.000, 0.000], [0.000, 0.500, 0.000], [0.500, 0.500, 0.000], [0.000, 0.000, 0.500], [0.272, 0.544, 0.317], [0.728, 0.456, 0.683], [0.784, 0.569, 0.314], [0.216, 0.431, 0.686], [0.784, 0.029, 0.314], [0.216, 0.971, 0.686], [0.244, 0.029, 0.314], [0.756, 0.971, 0.686]]}

(3)
{"formula": "MnSn2Sb2", "functional": "PBE", "state": "relaxed", "sg": "No. 127", "e_form_raw_ev_per_atom": 0.34, "cell": [[6.712, 0.000, 0.000], [0.000, 6.712, 0.000], [0.000, 0.000, 5.498]], "species": ["Sb", "Sb", "Sb", "Sb", "Mn", "Mn", "Sn", "Sn", "Sn", "Sn"], "fractional_positions": [[0.344, 0.844, 0.000], [0.844, 0.656, 0.000], [0.656, 0.156, 0.000], [0.156, 0.344, 0.000], [0.000, 0.000, 0.000], [0.500, 0.500, 0.000], [0.177, 0.677, 0.500], [0.677, 0.823, 0.500], [0.823, 0.323, 0.500], [0.323, 0.177, 0.500]]}

(4)
{"formula": "Ac2TeC2", "functional": "PBE", "state": "relaxed", "sg": "No. 15", "e_form_raw_ev_per_atom": -0.70, "cell": [[-2.984, -0.796, 3.374], [-2.496, -6.154, -3.659], [7.184, -2.664, 2.626]], "species": ["Ac", "Ac", "Ac", "Ac", "Te", "Te", "C", "C", "C", "C"], "fractional_positions": [[0.850, 0.143, 0.295], [0.445, 0.643, 0.295], [0.150, 0.857, 0.705], [0.555, 0.357, 0.705], [0.792, 0.750, 0.000], [0.208, 0.250, 0.000], [0.902, 0.471, 0.536], [0.366, 0.029, 0.464], [0.098, 0.529, 0.464], [0.634, 0.971, 0.536]]}

(5)
{"formula": "LuThMgIn", "functional": "PBE", "state": "relaxed", "formation_enthalpy_0k_ev_per_fu": -0.6, "sg": "No. 216", "cell": [[-1.601, -1.294, -4.937], [-0.397, -5.141, -1.422], [-4.815, -2.201, -0.759]], "species": ["Mg", "Lu", "Th", "In"], "fractional_positions": [[0.000, 0.000, 0.000], [0.250, 0.250, 0.250], [0.750, 0.750, 0.750], [0.500, 0.500, 0.500]]}

(6)
{"formula": "PaNi2Pd", "functional": "PBE", "state": "relaxed", "formation_enthalpy_0k_ev_per_fu": -1.5, "sg": "No. 166", "relative_energy_ev_per_fu": 0.09, "cell": [[-0.186, -1.760, 3.985], [-0.903, -4.240, 0.471], [3.536, -2.852, 1.290]], "species": ["Pa", "Ni", "Ni", "Pd"], "fractional_positions": [[0.500, 0.500, 0.500], [0.714, 0.714, 0.857], [0.286, 0.286, 0.143], [0.000, 0.000, 0.000]]}